A relaxed structure of Pr6CdPt. Source: the Alexandria database, functional PBE-GGA.

Energy of formation from the pure elements ... -10.4 kJ per mole of atoms
N(E_F) ... 12.90 states/eV/cell
Density ... 6.50 g cm⁻³

a b c (Å): 7.0382 7.0430 7.9560
angles (deg): 64.21 63.91 59.85
With the nearest neighbours (Å) after each atom.
Sites, in units of the cell vectors:
Pr 0.5712 0.2065 0.2605  1 Pt 2.87, 1 Cd 3.11
Pr 0.4288 0.7935 0.7395  1 Pt 2.87, 1 Cd 3.11
Pr 0.0416 0.4257 0.7408  1 Pt 2.88, 1 Cd 3.12
Pr 0.2089 0.9588 0.2597  1 Pt 2.87, 1 Cd 3.12
Pr 0.9584 0.5743 0.2592  1 Pt 2.88, 1 Cd 3.12
Pr 0.7911 0.0412 0.7403  1 Pt 2.87, 1 Cd 3.12
Cd 0.5000 0.5000 0.5000  6 Pr 3.11-3.12
Pt 0.0000 0.0000 0.0000  6 Pr 2.87-2.88